First-principles (GGA-PBEsol) data for an optimized crystal structure of Ni2SbOs, as listed in Alexandria.

abc: 8.5414 2.9345 4.5421
angles: 90.00 101.93 90.00
Closest atoms and distances in Å follow each position.
Space group C2/m (No. 12)
Inequivalent atoms, fractional coordinates:
Ni1 0.2454 0.0000 0.2275 [4 per cell]  2 Ni 2.55, 3 Os 2.59, 3 Sb 2.65-2.70
Sb1 0.0000 0.0000 0.5000 [2 per cell]  6 Ni 2.65-2.70, 4 Os 2.70, 2 Sb 2.93
Os1 0.0000 0.5000 0.0000 [2 per cell]  6 Ni 2.59, 4 Sb 2.70

- Uncorrected energy: -0.5111 Ry/atom
- DOS(E_F): 10.01 states/eV per cell
- Energy relative to the elements, uncorrected: 0.318 eV/atom